This record from Alexandria via LeMat-Bulk describes a geometry-optimized MgZn structure. The functional is PBE.

- volume (Å³/cell) = 74.1
- energy relative to the elements (eV per atom) = -0.016
- N(E_F) (states/eV per cell) = 1.34
- total magnetic moment (μB per formula unit) = 0.00

Lattice parameters (Å, degrees): 3.0799 4.9063 4.9040 90.00 90.00 90.00
With the nearest neighbours (Å) after each atom.
Element x y z (fractional)
Mg: 0.2500 0.2500 0.1012  6 Zn 2.86-2.93, 6 Mg 3.06-3.08
Mg: 0.7500 0.7500 0.8988  6 Zn 2.86-2.93, 6 Mg 3.06-3.08
Zn: 0.2500 0.7500 0.4072  6 Mg 2.86-2.93, 6 Zn 3.04-3.08
Zn: 0.7500 0.2500 0.5928  6 Mg 2.86-2.93, 6 Zn 3.04-3.08

***

This record from Alexandria via LeMat-Bulk describes a geometry-optimized MgZn5 structure. The functional is PBE.

- volume (Å³/cell) = 94.9
- energy relative to the elements (eV per atom) = -0.023
- N(E_F) (states/eV per cell) = 1.53
- total magnetic moment (μB per formula unit) = 0.00

Lattice parameters (Å, degrees): 4.8877 4.8877 4.5871 90.00 90.00 120.00
With the nearest neighbours (Å) after each atom.
Element x y z (fractional)
Mg: 0.0000 0.0000 0.0000  12 Zn 2.82-2.89
Zn: 0.0000 0.3582 0.5000  10 Zn 2.72-3.03, 2 Mg 2.89
Zn: 0.3333 0.6667 0.0000  9 Zn 2.78-2.82, 3 Mg 2.82
Zn: 0.3582 0.0000 0.5000  10 Zn 2.72-3.03, 2 Mg 2.89
Zn: 0.6418 0.6418 0.5000  10 Zn 2.72-3.03, 2 Mg 2.89
Zn: 0.6667 0.3333 0.0000  9 Zn 2.78-2.82, 3 Mg 2.82

***

This record from Alexandria via LeMat-Bulk describes a geometry-optimized MgZn structure. The functional is PBE.

- volume (Å³/cell) = 113.1
- energy relative to the elements (eV per atom) = 0.005
- N(E_F) (states/eV per cell) = 2.02
- total magnetic moment (μB per formula unit) = 0.00

Lattice parameters (Å, degrees): 3.1312 3.1312 13.3148 90.00 90.00 120.00
With the nearest neighbours (Å) after each atom.
Element x y z (fractional)
Mg: 0.0000 0.0000 0.0000  3 Zn 2.85, 9 Mg 3.13-3.15
Mg: 0.0000 0.0000 0.3315  6 Zn 2.85-2.86, 6 Mg 3.13
Mg: 0.3333 0.6667 0.8062  3 Zn 2.84, 9 Mg 3.13-3.15
Zn: 0.0000 0.0000 0.6417  3 Zn 2.65, 3 Mg 2.84
Zn: 0.3333 0.6667 0.1654  6 Mg 2.85-2.86, 6 Zn 3.13
Zn: 0.3333 0.6667 0.4966  3 Zn 2.65, 3 Mg 2.85

***

This record from Alexandria via LeMat-Bulk describes a geometry-optimized Mg3Zn structure. The functional is PBE.

- volume (Å³/cell) = 133.0
- energy relative to the elements (eV per atom) = 0.335
- N(E_F) (states/eV per cell) = 2.14
- total magnetic moment (μB per formula unit) = 0.00

Lattice parameters (Å, degrees): 5.1043 5.1043 5.1043 90.00 90.00 90.00
With the nearest neighbours (Å) after each atom.
Element x y z (fractional)
Mg: 0.0000 0.0000 0.5000  2 Zn 2.55
Mg: 0.0000 0.5000 0.0000  2 Zn 2.55
Mg: 0.5000 0.0000 0.0000  2 Zn 2.55
Zn: 0.0000 0.0000 0.0000  6 Mg 2.55

***

This record from Alexandria via LeMat-Bulk describes a geometry-optimized MgZn2 structure. The functional is PBE.

- volume (Å³/cell) = 105.2
- energy relative to the elements (eV per atom) = 0.006
- N(E_F) (states/eV per cell) = 1.61
- total magnetic moment (μB per formula unit) = 0.00

Lattice parameters (Å, degrees): 4.6519 4.6519 5.3632 90.00 90.00 115.03
With the nearest neighbours (Å) after each atom.
Element x y z (fractional)
Mg: 0.1369 0.8631 0.7500  9 Zn 2.71-3.03
Mg: 0.8631 0.1369 0.2500  9 Zn 2.71-3.03
Zn: 0.2083 0.7917 0.2500  2 Zn 2.65, 5 Mg 2.71-2.78
Zn: 0.5000 0.5000 0.0000  4 Zn 2.65-2.68
Zn: 0.5000 0.5000 0.5000  4 Zn 2.65-2.68
Zn: 0.7917 0.2083 0.7500  2 Zn 2.65, 5 Mg 2.71-2.78

***

This record from Alexandria via LeMat-Bulk describes a geometry-optimized MgZn2 structure. The functional is PBE.

- volume (Å³/cell) = 60.4
- energy relative to the elements (eV per atom) = 0.159
- N(E_F) (states/eV per cell) = 1.01
- total magnetic moment (μB per formula unit) = 0.00

Lattice parameters (Å, degrees): 3.6950 3.6950 5.1098 90.00 90.00 120.00
With the nearest neighbours (Å) after each atom.
Element x y z (fractional)
Mg: 0.0000 0.0000 0.0000  6 Zn 2.84
Zn: 0.3333 0.6667 0.3666  3 Zn 2.53
Zn: 0.6667 0.3333 0.6334  3 Zn 2.53

***

This record from Alexandria via LeMat-Bulk describes a geometry-optimized MgZn structure. The functional is PBE.

- volume (Å³/cell) = 83.9
- energy relative to the elements (eV per atom) = 0.039
- N(E_F) (states/eV per cell) = 1.07
- total magnetic moment (μB per formula unit) = 0.00

Lattice parameters (Å, degrees): 4.4828 4.4828 4.8218 90.00 90.00 120.00
With the nearest neighbours (Å) after each atom.
Element x y z (fractional)
Mg: 0.3333 0.6667 0.2500  6 Zn 2.86
Mg: 0.6667 0.3333 0.7500  6 Zn 2.86
Zn: 0.0000 0.0000 0.0000  2 Zn 2.41
Zn: 0.0000 0.0000 0.5000  2 Zn 2.41

***

This record from Alexandria via LeMat-Bulk describes a geometry-optimized Mg3Zn structure. The functional is PBE.

- volume (Å³/cell) = 81.7
- energy relative to the elements (eV per atom) = -0.016
- N(E_F) (states/eV per cell) = 0.95
- total magnetic moment (μB per formula unit) = 0.00

Lattice parameters (Å, degrees): 3.1973 4.9334 5.1808 90.00 90.00 90.00
With the nearest neighbours (Å) after each atom.
Element x y z (fractional)
Mg: 0.0000 0.0000 0.0000  4 Zn 3.02-3.07, 8 Mg 3.05-3.20
Mg: 0.0000 0.5000 0.3550  8 Mg 2.99-3.20, 4 Zn 3.04
Mg: 0.5000 0.5000 0.8423  10 Mg 2.99-3.20, 2 Zn 3.02
Zn: 0.5000 0.0000 0.5048  10 Mg 3.02-3.07, 2 Zn 3.20

***

This record from Alexandria via LeMat-Bulk describes a geometry-optimized MgZn6 structure. The functional is PBE.

- volume (Å³/cell) = 455.5
- relative energy among the computed polymorphs (eV per atom) = 0.0000
- energy relative to the elements (eV per atom) = -0.026
- N(E_F) (states/eV per cell) = 7.70
- total magnetic moment (μB per formula unit) = 0.00

Lattice parameters (Å, degrees): 7.9841 5.3567 10.6506 90.00 90.00 90.00
With the nearest neighbours (Å) after each atom.
Element x y z (fractional)
Mg: 0.2423 0.2500 0.0748  12 Zn 2.97-3.18
Mg: 0.2577 0.7500 0.5748  12 Zn 2.97-3.18
Mg: 0.7423 0.2500 0.4252  12 Zn 2.97-3.18
Mg: 0.7577 0.7500 0.9252  12 Zn 2.97-3.18
Zn: 0.0569 0.0137 0.3112  8 Zn 2.51-2.79
Zn: 0.0569 0.4863 0.3112  8 Zn 2.51-2.79
Zn: 0.0604 0.7500 0.0867  6 Zn 2.53-2.78
Zn: 0.1066 0.2500 0.5189  7 Zn 2.58-2.75
Zn: 0.1373 0.7500 0.8565  6 Zn 2.53-2.79
Zn: 0.1925 0.2500 0.7605  7 Zn 2.51-2.71
Zn: 0.3075 0.7500 0.2605  7 Zn 2.51-2.71
Zn: 0.3627 0.2500 0.3565  6 Zn 2.53-2.79
Zn: 0.3934 0.7500 0.0189  7 Zn 2.58-2.75
Zn: 0.4396 0.2500 0.5867  6 Zn 2.53-2.78
Zn: 0.4431 0.5137 0.8112  8 Zn 2.51-2.79
Zn: 0.4431 0.9863 0.8112  8 Zn 2.51-2.79
Zn: 0.5569 0.0137 0.1888  8 Zn 2.51-2.79
Zn: 0.5569 0.4863 0.1888  8 Zn 2.51-2.79
Zn: 0.5604 0.7500 0.4133  6 Zn 2.53-2.78
Zn: 0.6066 0.2500 0.9811  7 Zn 2.58-2.75
Zn: 0.6373 0.7500 0.6435  6 Zn 2.53-2.79
Zn: 0.6925 0.2500 0.7395  7 Zn 2.51-2.71
Zn: 0.8075 0.7500 0.2395  7 Zn 2.51-2.71
Zn: 0.8627 0.2500 0.1435  6 Zn 2.53-2.79
Zn: 0.8934 0.7500 0.4811  7 Zn 2.58-2.75
Zn: 0.9396 0.2500 0.9133  6 Zn 2.53-2.78
Zn: 0.9431 0.5137 0.6888  8 Zn 2.51-2.79
Zn: 0.9431 0.9863 0.6888  8 Zn 2.51-2.79

***

This record from Alexandria via LeMat-Bulk describes a geometry-optimized Mg3Zn5 structure. The functional is PBE.

- volume (Å³/cell) = 138.3
- relative energy among the computed polymorphs (eV per atom) = 0.0000
- energy relative to the elements (eV per atom) = -0.040
- N(E_F) (states/eV per cell) = 2.34
- total magnetic moment (μB per formula unit) = 0.00

Lattice parameters (Å, degrees): 5.7157 5.7157 4.2602 90.00 90.00 96.51
With the nearest neighbours (Å) after each atom.
Element x y z (fractional)
Mg: 0.0000 0.0000 0.0000  8 Zn 2.86-2.87, 4 Mg 3.06
Mg: 0.2574 0.7426 0.5000  10 Zn 2.80-2.97, 2 Mg 3.06
Mg: 0.7426 0.2574 0.5000  10 Zn 2.80-2.97, 2 Mg 3.06
Zn: 0.0000 0.5000 0.0000  6 Mg 2.86, 6 Zn 2.86-3.01
Zn: 0.2519 0.2519 0.5000  6 Mg 2.80-2.91, 6 Zn 2.85-3.01
Zn: 0.5000 0.0000 0.0000  6 Mg 2.86, 6 Zn 2.86-3.01
Zn: 0.5000 0.5000 0.0000  8 Zn 2.85-2.86, 4 Mg 2.97
Zn: 0.7481 0.7481 0.5000  6 Mg 2.80-2.91, 6 Zn 2.85-3.01

***

This record from Alexandria via LeMat-Bulk describes a geometry-optimized MgZn2 structure. The functional is PBE.

- volume (Å³/cell) = 101.4
- energy relative to the elements (eV per atom) = -0.051
- N(E_F) (states/eV per cell) = 1.51
- total magnetic moment (μB per formula unit) = 0.00

Lattice parameters (Å, degrees): 5.0334 5.0334 4.7640 90.00 90.00 57.13
With the nearest neighbours (Å) after each atom.
Element x y z (fractional)
Mg: 0.1969 0.8031 0.7500  10 Zn 2.79-2.97, 2 Mg 3.04
Mg: 0.8031 0.1969 0.2500  10 Zn 2.79-2.97, 2 Mg 3.04
Zn: 0.1471 0.4956 0.2500  6 Zn 2.72-2.91, 5 Mg 2.79-2.97
Zn: 0.4956 0.1471 0.7500  6 Zn 2.72-2.91, 5 Mg 2.79-2.97
Zn: 0.5044 0.8529 0.2500  6 Zn 2.72-2.91, 5 Mg 2.79-2.97
Zn: 0.8529 0.5044 0.7500  6 Zn 2.72-2.91, 5 Mg 2.79-2.97

***

This record from Alexandria via LeMat-Bulk describes a geometry-optimized MgZn structure. The functional is PBE.

- volume (Å³/cell) = 110.2
- energy relative to the elements (eV per atom) = -0.052
- N(E_F) (states/eV per cell) = 1.61
- total magnetic moment (μB per formula unit) = 0.00

Lattice parameters (Å, degrees): 5.9148 5.9148 6.7008 104.18 104.18 29.08
With the nearest neighbours (Å) after each atom.
Element x y z (fractional)
Mg: 0.0000 0.0000 0.0000  6 Zn 2.85-2.97, 4 Mg 2.97-3.13
Mg: 0.0405 0.0405 0.5457  6 Zn 2.91-3.06, 6 Mg 2.97-3.19
Mg: 0.3174 0.3174 0.6431  5 Zn 2.87-2.93, 7 Mg 2.97-3.16
Zn: 0.3611 0.3611 0.2304  6 Zn 2.76-2.97, 5 Mg 2.89-2.95
Zn: 0.6722 0.6722 0.2992  5 Zn 2.73-2.97, 6 Mg 2.85-2.91
Zn: 0.7049 0.7049 0.9098  5 Zn 2.73-2.97, 4 Mg 2.87-2.97